[1]
First-principles (PBE) data for a relaxed PaV2Si2C crystal, as listed in the Alexandria database.

Cell and atoms, written as extended XYZ:
```
6
Lattice="4.074 0.000 0.000 0.000 4.074 0.000 0.000 0.000 5.216" Properties=species:S:1:pos:R:3 pbc="T T T"
V 2.037 0.000 0.000
V 0.000 2.037 0.000
Pa 0.000 0.000 2.608
C 0.000 0.000 0.000
Si 2.037 2.037 1.443
Si 2.037 2.037 3.773
```

Properties
Formation energy without anion corrections in eV/atom: -0.6374
Magnetic moment in μB per formula unit: 0.000
Space group: No. 123
DOS(E_F) in states/eV/cell: 4.42

[2]
First-principles (PBE) data for a relaxed YPa2SiC4 crystal, as listed in the Alexandria database.

Cell and atoms, written as extended XYZ:
```
16
Lattice="3.547 0.000 0.000 -1.774 5.838 0.000 0.000 0.000 11.775" Properties=species:S:1:pos:R:3 pbc="T T T"
C 0.000 3.114 1.477
C 1.774 2.724 10.299
Si 1.774 3.891 8.831
Pa 0.000 4.320 11.178
Si 0.000 1.947 2.944
Pa 1.774 1.518 0.597
C 0.000 0.000 0.000
C 1.774 0.907 2.944
Y 0.000 1.198 8.831
C 0.000 0.000 5.888
C 1.774 2.724 7.364
Pa 0.000 4.320 6.485
C 0.000 4.931 8.831
Pa 1.774 1.518 5.290
C 0.000 3.114 4.411
Y 1.774 4.640 2.944
```

Properties
Formation energy without anion corrections in eV/atom: -0.2554
Magnetic moment in μB per formula unit: 0.000
Space group: No. 63
DOS(E_F) in states/eV/cell: 3.88

[3]
First-principles (PBE) data for a relaxed Y2PaSiC4 crystal, as listed in the Alexandria database.

Cell and atoms, written as extended XYZ:
```
16
Lattice="3.428 0.000 0.000 -1.714 5.707 0.000 0.000 0.000 11.988" Properties=species:S:1:pos:R:3 pbc="T T T"
C 0.000 0.000 0.000
C 1.714 2.567 7.633
Pa 0.000 1.189 8.991
Y 0.000 4.167 6.591
C 1.714 2.567 10.349
Y 1.714 1.540 0.597
Si 1.714 3.849 8.991
C 0.000 5.043 8.991
C 0.000 3.140 4.355
C 0.000 0.000 5.994
Pa 1.714 4.517 2.997
Si 0.000 1.858 2.997
C 0.000 3.140 1.639
C 1.714 0.664 2.997
Y 1.714 1.540 5.397
Y 0.000 4.167 11.391
```

Properties
Formation energy without anion corrections in eV/atom: -0.0632
Magnetic moment in μB per formula unit: 0.289
Space group: No. 63
DOS(E_F) in states/eV/cell: 10.47

[4]
First-principles (PBE) data for a relaxed SmPa2C2 crystal, as listed in the Alexandria database.

Cell and atoms, written as extended XYZ:
```
5
Lattice="-2.262 -2.572 0.753 3.237 -0.062 1.347 -2.885 4.629 7.149" Properties=species:S:1:pos:R:3 pbc="T T T"
C 0.511 0.534 3.361
C -2.421 1.461 5.887
Pa -0.916 -0.954 2.158
Pa -0.994 2.949 7.090
Sm -1.443 2.315 3.574
```

Properties
Calculated total energy in eV per atom: -8.6290
Magnetic moment in μB per formula unit: 0.000
Space group: No. 164
DOS(E_F) in states/eV/cell: 7.42

[5]
First-principles (PBE) data for a relaxed SmPaC2 crystal, as listed in the Alexandria database.

Cell and atoms, written as extended XYZ:
```
4
Lattice="3.597 0.000 0.000 -1.799 3.115 0.000 0.000 -0.007 6.186" Properties=species:S:1:pos:R:3 pbc="T T T"
Sm -0.899 1.554 3.093
C 0.899 0.517 1.326
Pa -0.899 1.558 0.000
C 0.899 2.590 4.859
```

Properties
Magnetic moment in μB per formula unit: 0.000
Space group: No. 12
Energy above the lowest structure with this stoichiometry in meV/atom: 317
DOS(E_F) in states/eV/cell: 2.16

[6]
First-principles (PBE) data for a relaxed SmPaC crystal, as listed in the Alexandria database.

Cell and atoms, written as extended XYZ:
```
3
Lattice="-2.626 2.237 0.803 -0.709 -3.026 -1.698 -0.775 -2.850 5.406" Properties=species:S:1:pos:R:3 pbc="T T T"
C -2.262 -0.528 1.887
Pa -1.777 -2.851 2.130
Sm -0.071 -0.260 0.494
```

Properties
Magnetic moment in μB per formula unit: 0.986
Space group: No. 156
Energy above the lowest structure with this stoichiometry in meV/atom: 0
DOS(E_F) in states/eV/cell: 3.83

[7]
First-principles (PBE) data for a relaxed SmPaC crystal, as listed in the Alexandria database.

Cell and atoms, written as extended XYZ:
```
12
Lattice="-5.176 4.142 -0.388 0.774 -0.861 6.539 5.810 2.886 -2.907" Properties=species:S:1:pos:R:3 pbc="T T T"
Sm -1.105 2.557 4.752
C -0.360 0.092 5.219
Sm -1.492 2.987 1.483
Pa 3.092 2.962 3.396
C 3.326 0.879 4.674
Pa 0.900 1.129 0.042
Pa 1.292 0.704 3.312
C -4.042 3.189 0.932
Sm 4.001 2.359 0.224
Pa 0.508 5.038 3.202
Sm 1.413 4.430 0.029
C 1.058 2.786 2.034
```

Properties
Magnetic moment in μB per formula unit: 0.000
Space group: No. 70
Energy above the lowest structure with this stoichiometry in meV/atom: 237
DOS(E_F) in states/eV/cell: 14.66

[8]
First-principles (PBE) data for a relaxed SmPa2C crystal, as listed in the Alexandria database.

Cell and atoms, written as extended XYZ:
```
4
Lattice="-0.108 2.726 1.942 -2.173 2.456 -0.680 -7.267 -2.490 5.980" Properties=species:S:1:pos:R:3 pbc="T T T"
Pa -4.525 3.728 3.179
Sm 0.000 0.000 0.000
C -4.774 1.346 3.621
Pa -5.023 -1.036 4.063
```

Properties
Magnetic moment in μB per formula unit: 0.000
Space group: No. 166
Energy above the lowest structure with this stoichiometry in meV/atom: 0
DOS(E_F) in states/eV/cell: 7.32

[9]
First-principles (PBE) data for a relaxed SmPaC crystal, as listed in the Alexandria database.

Cell and atoms, written as extended XYZ:
```
3
Lattice="3.292 0.000 0.000 0.000 3.292 0.000 -1.646 -1.646 6.668" Properties=species:S:1:pos:R:3 pbc="T T T"
Pa 1.646 1.646 2.732
C 0.000 0.000 2.183
Sm 1.646 1.646 6.419
```

Properties
Magnetic moment in μB per formula unit: 0.000
Space group: No. 107
Energy above the lowest structure with this stoichiometry in meV/atom: 242
DOS(E_F) in states/eV/cell: 3.71

[10]
First-principles (PBE) data for a relaxed SmPaC2 crystal, as listed in the Alexandria database.

Cell and atoms, written as extended XYZ:
```
4
Lattice="-2.627 -2.382 -0.749 0.336 -3.456 1.040 -3.448 -0.631 5.335" Properties=species:S:1:pos:R:3 pbc="T T T"
Sm -2.886 -3.226 2.845
C -2.858 -0.921 4.182
Pa -1.530 -3.890 0.200
C -1.335 -1.666 1.212
```

Properties
Magnetic moment in μB per formula unit: 0.000
Space group: No. 160
Energy above the lowest structure with this stoichiometry in meV/atom: 150
DOS(E_F) in states/eV/cell: 0.74

[11]
First-principles (PBE) data for a relaxed SmPa3C crystal, as listed in the Alexandria database.

Cell and atoms, written as extended XYZ:
```
5
Lattice="-1.061 -1.868 4.399 4.778 -0.318 1.018 -0.102 4.514 1.892" Properties=species:S:1:pos:R:3 pbc="T T T"
Pa 2.389 -0.159 0.509
Pa -0.531 -0.934 2.199
C 0.000 0.000 0.000
Sm 1.807 1.164 3.654
Pa -0.051 2.257 0.946
```

Properties
Calculated total energy in eV per atom: -8.5262
Magnetic moment in μB per formula unit: 0.000
Space group: No. 221
DOS(E_F) in states/eV/cell: 6.93

[12]
First-principles (PBE) data for a relaxed SmPa2C crystal, as listed in the Alexandria database.

Cell and atoms, written as extended XYZ:
```
4
Lattice="3.122 0.000 0.000 0.000 3.122 0.000 0.000 0.000 8.727" Properties=species:S:1:pos:R:3 pbc="T T T"
Pa 0.000 0.000 7.304
Sm 1.561 1.561 4.363
Pa 0.000 0.000 1.422
C 1.561 1.561 0.000
```

Properties
Magnetic moment in μB per formula unit: 0.000
Space group: No. 123
Energy above the lowest structure with this stoichiometry in meV/atom: 216
DOS(E_F) in states/eV/cell: 6.42